(P)
DFT (SCAN) results for a PBEsol-optimized structure of AsAuBr2F. Values from VASP.

Geometry as Quantum ESPRESSO input:
```
&SYSTEM
  ibrav = 0, nat = 5, ntyp = 4
/
ATOMIC_SPECIES
As 74.92 As.upf
Au 196.97 Au.upf
Br 79.90 Br.upf
F 19.00 F.upf
CELL_PARAMETERS angstrom
5.3902 0.0000 0.0000
0.0000 5.3902 0.0000
0.0000 0.0000 3.7840
ATOMIC_POSITIONS angstrom
As 0.0000 0.0000 0.0000
Au 2.6951 2.6951 0.0000
Br 0.0000 2.6951 1.8920
Br 2.6951 0.0000 1.8920
F 0.0000 0.0000 1.8920
```

(Q)
DFT (SCAN) results for a PBEsol-optimized structure of AsAuBr2F. Values from VASP.

Geometry as Quantum ESPRESSO input:
```
&SYSTEM
  ibrav = 0, nat = 5, ntyp = 4
/
ATOMIC_SPECIES
As 74.92 As.upf
Au 196.97 Au.upf
Br 79.90 Br.upf
F 19.00 F.upf
CELL_PARAMETERS angstrom
5.1314 0.0000 0.0000
0.0000 5.1314 0.0000
0.0000 0.0000 4.9005
ATOMIC_POSITIONS angstrom
As 0.0000 0.0000 0.0000
Au 0.0000 0.0000 2.4503
Br 0.0000 2.5657 2.4503
Br 2.5657 0.0000 2.4503
F 2.5657 2.5657 0.0000
```

Of them, (P) has the highest stability.

(P)
DFT (SCAN) results for a PBEsol-optimized structure of AsAuSe2Br. Values from VASP.

Geometry as Quantum ESPRESSO input:
```
&SYSTEM
  ibrav = 0, nat = 5, ntyp = 4
/
ATOMIC_SPECIES
As 74.92 As.upf
Au 196.97 Au.upf
Se 78.96 Se.upf
Br 79.90 Br.upf
CELL_PARAMETERS angstrom
4.9794 0.0000 0.0000
0.0000 4.9794 0.0000
0.0000 0.0000 5.0969
ATOMIC_POSITIONS angstrom
As 0.0000 0.0000 0.0000
Au 0.0000 0.0000 2.5484
Se 0.0000 2.4897 2.5484
Se 2.4897 0.0000 2.5484
Br 2.4897 2.4897 0.0000
```

(Q)
DFT (SCAN) results for a PBEsol-optimized structure of AsAuSe2Br. Values from VASP.

Geometry as Quantum ESPRESSO input:
```
&SYSTEM
  ibrav = 0, nat = 5, ntyp = 4
/
ATOMIC_SPECIES
As 74.92 As.upf
Au 196.97 Au.upf
Se 78.96 Se.upf
Br 79.90 Br.upf
CELL_PARAMETERS angstrom
4.9943 0.0000 0.0000
0.0000 4.9943 0.0000
0.0000 0.0000 5.1013
ATOMIC_POSITIONS angstrom
As 0.0000 0.0000 0.0000
Au 2.4972 2.4972 0.0000
Se 0.0000 2.4972 2.5506
Se 2.4972 0.0000 2.5506
Br 0.0000 0.0000 2.5506
```

Of them, (P) has the highest stability.

(P)
DFT (SCAN) results for a PBEsol-optimized structure of AsAuCl2. Values from VASP.

Geometry as Quantum ESPRESSO input:
```
&SYSTEM
  ibrav = 0, nat = 4, ntyp = 3
/
ATOMIC_SPECIES
As 74.92 As.upf
Au 196.97 Au.upf
Cl 35.45 Cl.upf
CELL_PARAMETERS angstrom
-1.5688 2.6860 4.7344
1.5688 -2.6860 4.7344
1.5688 2.6860 -4.7344
ATOMIC_POSITIONS angstrom
As 0.0000 0.0000 0.0000
Au 0.0000 0.0000 4.7344
Cl 0.0000 0.0000 2.3606
Cl 0.0000 0.0000 7.1083
```

(Q)
DFT (SCAN) results for a PBEsol-optimized structure of AsAuCl2. Values from VASP.

Geometry as Quantum ESPRESSO input:
```
&SYSTEM
  ibrav = 0, nat = 4, ntyp = 3
/
ATOMIC_SPECIES
As 74.92 As.upf
Au 196.97 Au.upf
Cl 35.45 Cl.upf
CELL_PARAMETERS angstrom
-1.5872 2.2891 6.4691
1.5872 -2.2891 6.4691
1.5872 2.2891 -6.4691
ATOMIC_POSITIONS angstrom
As 0.0000 0.0000 0.0000
Au 0.0000 0.0000 6.4691
Cl 1.5872 0.0000 2.0132
Cl 0.0000 2.2891 4.4559
```

Of them, (Q) has the highest stability.